Density functional theory data (PBE) for RbPmAg2Br6 after structural relaxation.

- Uncorrected formation energy: -1215 meV/atom

a = 7.8040 Å, b = 7.8048 Å, c = 8.2444 Å
α = 90.01°, β = 118.26°, γ = 119.98°
With the nearest neighbours (Å) after each atom.
Element x y z (fractional)
Rb (0.9943, 0.4966, 0.4767)  6 Br 3.44-3.46
Pm (0.0067, 0.0029, 0.9956)  6 Br 2.84-2.96
Ag (0.6049, 0.8021, 0.3927)  6 Br 2.84-3.09
Ag (0.5001, 0.2497, 0.7356)  3 Br 2.64
Br (0.5542, 0.9448, 0.7072)  1 Ag 2.64
Br (0.4403, 0.0375, 0.1935)  1 Pm 2.84, 1 Ag 2.84
Br (0.8055, 0.7672, 0.1933)  1 Pm 2.84, 1 Ag 2.84
Br (0.1704, 0.4020, 0.1935)  1 Pm 2.84, 1 Ag 2.84
Br (0.7766, 0.6084, 0.7074)  1 Ag 2.64
Br (0.1125, 0.1666, 0.7070)  1 Ag 2.64

=====

Density functional theory data (PBE) for Rb3PmAg2Br9 after structural relaxation.

- Uncorrected formation energy: -1287 meV/atom

a = 7.9190 Å, b = 7.9190 Å, c = 9.8782 Å
α = 90.00°, β = 90.00°, γ = 120.00°
With the nearest neighbours (Å) after each atom.
Element x y z (fractional)
Rb (0.3333, 0.6667, 0.7011)  9 Br 3.73-3.97
Rb (0.0000, 0.0000, 0.0000)  12 Br 3.96-4.00
Rb (0.6667, 0.3333, 0.2989)  9 Br 3.73-3.97
Pm (0.0000, 0.0000, 0.5000)  6 Br 2.86
Ag (0.3333, 0.6667, 0.1526)  6 Br 2.74-2.86
Ag (0.6667, 0.3333, 0.8474)  6 Br 2.74-2.86
Br (0.8314, 0.1686, 0.6695)  1 Pm 2.86, 1 Ag 2.86
Br (0.8314, 0.6628, 0.6695)  1 Pm 2.86, 1 Ag 2.86
Br (0.3372, 0.1686, 0.6695)  1 Pm 2.86, 1 Ag 2.86
Br (0.6628, 0.8314, 0.3305)  1 Pm 2.86, 1 Ag 2.86
Br (0.1686, 0.3372, 0.3305)  1 Pm 2.86, 1 Ag 2.86
Br (0.1686, 0.8314, 0.3305)  1 Pm 2.86, 1 Ag 2.86
Br (0.5000, 0.0000, 0.0000)  2 Ag 2.74
Br (0.0000, 0.5000, 0.0000)  2 Ag 2.74
Br (0.5000, 0.5000, 0.0000)  2 Ag 2.74

=====

Density functional theory data (PBE) for Rb2PmAgBr6 after structural relaxation.

- Uncorrected formation energy: -1539 meV/atom

a = 7.9175 Å, b = 8.2007 Å, c = 11.1310 Å
α = 90.00°, β = 89.70°, γ = 90.00°
With the nearest neighbours (Å) after each atom.
Element x y z (fractional)
Rb (0.0189, 0.9355, 0.2514)  8 Br 3.50-3.88
Rb (0.5189, 0.5645, 0.7514)  8 Br 3.50-3.88
Rb (0.9811, 0.0645, 0.7486)  8 Br 3.50-3.88
Rb (0.4811, 0.4355, 0.2486)  8 Br 3.50-3.88
Pm (0.5000, 0.0000, 0.5000)  6 Br 2.88-2.89
Pm (0.0000, 0.5000, 0.0000)  6 Br 2.88-2.89
Ag (0.5000, 0.0000, 0.0000)  6 Br 2.84-2.99
Ag (0.0000, 0.5000, 0.5000)  6 Br 2.84-2.99
Br (0.2929, 0.7007, 0.0425)  1 Pm 2.88, 1 Ag 2.99
Br (0.7929, 0.7993, 0.5425)  1 Pm 2.88, 1 Ag 2.99
Br (0.7071, 0.2993, 0.9575)  1 Pm 2.88, 1 Ag 2.99
Br (0.2071, 0.2007, 0.4575)  1 Pm 2.88, 1 Ag 2.99
Br (0.3012, 0.7099, 0.4593)  1 Pm 2.89, 1 Ag 2.97
Br (0.8012, 0.7901, 0.9593)  1 Pm 2.89, 1 Ag 2.97
Br (0.6988, 0.2901, 0.5407)  1 Pm 2.89, 1 Ag 2.97
Br (0.1988, 0.2099, 0.0407)  1 Pm 2.89, 1 Ag 2.97
Br (0.9172, 0.5154, 0.2524)  1 Ag 2.84, 1 Pm 2.88
Br (0.4172, 0.9846, 0.7524)  1 Ag 2.84, 1 Pm 2.88
Br (0.0828, 0.4846, 0.7476)  1 Ag 2.84, 1 Pm 2.88
Br (0.5828, 0.0154, 0.2476)  1 Ag 2.84, 1 Pm 2.88

=====

Density functional theory data (PBE) for RbPmAgBr5 after structural relaxation.

- Uncorrected formation energy: -1468 meV/atom

a = 8.1233 Å, b = 8.1233 Å, c = 10.9032 Å
α = 102.52°, β = 102.52°, γ = 108.59°
With the nearest neighbours (Å) after each atom.
Element x y z (fractional)
Rb (0.3484, 0.6516, 0.2500)  5 Br 3.50-3.58
Rb (0.6516, 0.3484, 0.7500)  5 Br 3.50-3.58
Pm (0.0000, 0.0000, 0.5000)  6 Br 2.88-2.91
Pm (0.0000, 0.0000, 0.0000)  6 Br 2.88-2.91
Ag (0.6881, 0.3119, 0.2500)  4 Br 2.70-2.75
Ag (0.3119, 0.6881, 0.7500)  4 Br 2.70-2.75
Br (0.0773, 0.9227, 0.2500)  2 Pm 2.91
Br (0.9227, 0.0773, 0.7500)  2 Pm 2.91
Br (0.9112, 0.3092, 0.0988)  1 Ag 2.70, 1 Pm 2.88
Br (0.0888, 0.6908, 0.9012)  1 Ag 2.70, 1 Pm 2.88
Br (0.6908, 0.0888, 0.4012)  1 Ag 2.70, 1 Pm 2.88
Br (0.3092, 0.9112, 0.5988)  1 Ag 2.70, 1 Pm 2.88
Br (0.7495, 0.6294, 0.4380)  1 Ag 2.75, 1 Pm 2.88
Br (0.2505, 0.3706, 0.5620)  1 Ag 2.75, 1 Pm 2.88
Br (0.3706, 0.2505, 0.0620)  1 Ag 2.75, 1 Pm 2.88
Br (0.6294, 0.7495, 0.9380)  1 Ag 2.75, 1 Pm 2.88

=====

Density functional theory data (PBE) for PmAgSnBr6 after structural relaxation.

- Uncorrected formation energy: -1135 meV/atom

a = 7.2518 Å, b = 7.2518 Å, c = 13.4293 Å
α = 90.00°, β = 90.00°, γ = 120.00°
With the nearest neighbours (Å) after each atom.
Element x y z (fractional)
Pm (0.6667, 0.3333, 0.2500)  6 Br 2.90
Pm (0.3333, 0.6667, 0.7500)  6 Br 2.90
Ag (0.3333, 0.6667, 0.2500)  6 Br 2.90
Ag (0.6667, 0.3333, 0.7500)  6 Br 2.90
Sn (0.0000, 0.0000, 0.0000)  6 Br 3.02
Sn (0.0000, 0.0000, 0.5000)  6 Br 3.02
Br (0.6568, 0.6558, 0.1266)  1 Pm 2.90, 1 Ag 2.90, 1 Sn 3.02
Br (0.9991, 0.3432, 0.1266)  1 Pm 2.90, 1 Ag 2.90, 1 Sn 3.02
Br (0.3432, 0.9991, 0.6266)  1 Pm 2.90, 1 Ag 2.90, 1 Sn 3.02
Br (0.0009, 0.6568, 0.8734)  1 Pm 2.90, 1 Ag 2.90, 1 Sn 3.02
Br (0.3442, 0.3432, 0.3734)  1 Pm 2.90, 1 Ag 2.90, 1 Sn 3.02
Br (0.9991, 0.6558, 0.3734)  1 Pm 2.90, 1 Ag 2.90, 1 Sn 3.02
Br (0.6558, 0.9991, 0.8734)  1 Pm 2.90, 1 Ag 2.90, 1 Sn 3.02
Br (0.6568, 0.0009, 0.3734)  1 Pm 2.90, 1 Ag 2.90, 1 Sn 3.02
Br (0.0009, 0.3442, 0.6266)  1 Pm 2.90, 1 Ag 2.90, 1 Sn 3.02
Br (0.3442, 0.0009, 0.1266)  1 Pm 2.90, 1 Ag 2.90, 1 Sn 3.02
Br (0.6558, 0.6568, 0.6266)  1 Pm 2.90, 1 Ag 2.90, 1 Sn 3.02
Br (0.3432, 0.3442, 0.8734)  1 Pm 2.90, 1 Ag 2.90, 1 Sn 3.02

=====

Density functional theory data (PBE) for PmTlAgBr6 after structural relaxation.

- Uncorrected formation energy: -1071 meV/atom

a = 7.2780 Å, b = 7.2780 Å, c = 13.9959 Å
α = 90.00°, β = 90.00°, γ = 120.00°
With the nearest neighbours (Å) after each atom.
Element x y z (fractional)
Pm (0.3333, 0.6667, 0.2500)  6 Br 2.90
Pm (0.6667, 0.3333, 0.7500)  6 Br 2.90
Tl (0.0000, 0.0000, 0.0000)  6 Br 3.20
Tl (0.0000, 0.0000, 0.5000)  6 Br 3.20
Ag (0.6667, 0.3333, 0.2500)  6 Br 2.81
Ag (0.3333, 0.6667, 0.7500)  6 Br 2.81
Br (0.6467, 0.6377, 0.1334)  1 Ag 2.81, 1 Pm 2.90
Br (0.9910, 0.3533, 0.1334)  1 Ag 2.81, 1 Pm 2.90
Br (0.3533, 0.9910, 0.6334)  1 Ag 2.81, 1 Pm 2.90
Br (0.0090, 0.6467, 0.8666)  1 Ag 2.81, 1 Pm 2.90
Br (0.3623, 0.3533, 0.3666)  1 Ag 2.81, 1 Pm 2.90
Br (0.9910, 0.6377, 0.3666)  1 Ag 2.81, 1 Pm 2.90
Br (0.6377, 0.9910, 0.8666)  1 Ag 2.81, 1 Pm 2.90
Br (0.6467, 0.0090, 0.3666)  1 Ag 2.81, 1 Pm 2.90
Br (0.0090, 0.3623, 0.6334)  1 Ag 2.81, 1 Pm 2.90
Br (0.3623, 0.0090, 0.1334)  1 Ag 2.81, 1 Pm 2.90
Br (0.6377, 0.6467, 0.6334)  1 Ag 2.81, 1 Pm 2.90
Br (0.3533, 0.3623, 0.8666)  1 Ag 2.81, 1 Pm 2.90

=====

Density functional theory data (PBE) for PmTl2AgBr6 after structural relaxation.

- Uncorrected formation energy: -1162 meV/atom

a = 7.7040 Å, b = 8.1714 Å, c = 10.9323 Å
α = 90.00°, β = 89.11°, γ = 90.00°
With the nearest neighbours (Å) after each atom.
Element x y z (fractional)
Pm (0.5000, 0.0000, 0.5000)  6 Br 2.89
Pm (0.0000, 0.5000, 0.0000)  6 Br 2.89
Tl (0.0282, 0.9192, 0.2545)  7 Br 3.36-3.76
Tl (0.5282, 0.5808, 0.7545)  7 Br 3.36-3.76
Tl (0.9718, 0.0808, 0.7455)  7 Br 3.36-3.76
Tl (0.4718, 0.4192, 0.2455)  7 Br 3.36-3.76
Ag (0.5000, 0.0000, 0.0000)  6 Br 2.83-2.98
Ag (0.0000, 0.5000, 0.5000)  6 Br 2.83-2.98
Br (0.3046, 0.6924, 0.0506)  1 Pm 2.89, 1 Ag 2.98
Br (0.8046, 0.8076, 0.5506)  1 Pm 2.89, 1 Ag 2.98
Br (0.6954, 0.3076, 0.9494)  1 Pm 2.89, 1 Ag 2.98
Br (0.1954, 0.1924, 0.4494)  1 Pm 2.89, 1 Ag 2.98
Br (0.3113, 0.7030, 0.4485)  1 Pm 2.89, 1 Ag 2.96
Br (0.8113, 0.7970, 0.9485)  1 Pm 2.89, 1 Ag 2.96
Br (0.6887, 0.2970, 0.5515)  1 Pm 2.89, 1 Ag 2.96
Br (0.1887, 0.2030, 0.0515)  1 Pm 2.89, 1 Ag 2.96
Br (0.8930, 0.5244, 0.2538)  1 Ag 2.83, 1 Pm 2.89
Br (0.3930, 0.9756, 0.7538)  1 Ag 2.83, 1 Pm 2.89
Br (0.1070, 0.4756, 0.7462)  1 Ag 2.83, 1 Pm 2.89
Br (0.6070, 0.0244, 0.2462)  1 Ag 2.83, 1 Pm 2.89

=====

Density functional theory data (PBE) for PmTlAg2Br6 after structural relaxation.

- Uncorrected formation energy: -1033 meV/atom

a = 7.4908 Å, b = 7.4894 Å, c = 8.1031 Å
α = 62.47°, β = 62.45°, γ = 59.96°
With the nearest neighbours (Å) after each atom.
Element x y z (fractional)
Pm (0.3253, 0.3251, 0.0242)  6 Br 2.90-2.91
Tl (0.8069, 0.8072, 0.5783)  6 Br 3.26-3.44
Ag (0.5147, 0.5146, 0.4563)  6 Br 2.90-3.00
Ag (0.9993, 0.9998, 0.0018)  6 Br 2.90-2.96
Br (0.5917, 0.2580, 0.2335)  2 Ag 2.90-2.95, 1 Pm 2.91
Br (0.2582, 0.9166, 0.2337)  2 Ag 2.90-2.96, 1 Pm 2.91
Br (0.9168, 0.5914, 0.2340)  2 Ag 2.90-2.96, 1 Pm 2.91
Br (0.3491, 0.7398, 0.7514)  2 Ag 2.90-3.00, 1 Pm 2.90
Br (0.7399, 0.1597, 0.7509)  1 Pm 2.90, 2 Ag 2.90-3.00
Br (0.1598, 0.3495, 0.7511)  1 Pm 2.90, 2 Ag 2.90-3.00

=====

Density functional theory data (PBE) for Pr4AgBr5 after structural relaxation.

- Uncorrected formation energy: -1283 meV/atom

a = 4.1281 Å, b = 9.0205 Å, c = 9.5855 Å
α = 101.01°, β = 102.43°, γ = 90.00°
With the nearest neighbours (Å) after each atom.
Element x y z (fractional)
Pr (0.6653, 0.0690, 0.3307)  1 Ag 3.04, 5 Br 3.05-3.10
Pr (0.0040, 0.2346, 0.0080)  2 Ag 2.95, 4 Br 3.03-3.17
Pr (0.3347, 0.9310, 0.6693)  1 Ag 3.04, 5 Br 3.05-3.10
Pr (0.9960, 0.7654, 0.9920)  2 Ag 2.95, 4 Br 3.03-3.17
Ag (0.5000, 0.0000, 0.0000)  6 Pr 2.95-3.04
Br (0.1686, 0.3192, 0.3372)  3 Pr 3.03-3.05
Br (0.1672, 0.8158, 0.3343)  4 Pr 3.08-3.15
Br (0.8328, 0.1842, 0.6657)  4 Pr 3.08-3.15
Br (0.5000, 0.5000, 0.0000)  4 Pr 3.17
Br (0.8314, 0.6808, 0.6628)  3 Pr 3.03-3.05